CoNi3S6 | PBE-GGA | relaxed

Calculated values
Formation energy (no corrections)   -0.230 eV per atom
Density   4.6 g/cm³
Total magnetic moment   0.0002 μB per atom
Energy   -51.51 eV per formula unit

Cell and atoms, written as CIF:
```
data_CoNi3S6
_chemical_formula_sum 'Co6 Ni18 S36'
_cell_length_a 9.5553
_cell_length_b 9.5553
_cell_length_c 11.7319
_cell_angle_alpha 90.00
_cell_angle_beta 90.00
_cell_angle_gamma 120.00
_space_group_name_H-M_alt 'R -3'
_space_group_IT_number 148
_space_group_name_Hall '-R 3'
loop_
_atom_site_label
_atom_site_type_symbol
_atom_site_fract_x
_atom_site_fract_y
_atom_site_fract_z
_atom_site_occupancy
Co1 Co 0.0000 0.0000 0.0000 1
Co2 Co 0.0000 0.0000 0.5000 1
Ni1 Ni 0.0420 0.2541 0.2088 1
S1 S 0.0271 0.1892 0.8733 1
S2 S 0.0313 0.2145 0.4014 1
```

---

CoNi2S4 | PBE-GGA | relaxed

Calculated values
Formation energy (no corrections)   -0.318 eV per atom
Density   4.9 g/cm³
Total magnetic moment   0.0001 μB per atom
Energy   -37.40 eV per formula unit

Cell and atoms, written as CIF:
```
data_CoNi2S4
_chemical_formula_sum 'Co1 Ni2 S4'
_cell_length_a 5.1840
_cell_length_b 3.3745
_cell_length_c 5.9305
_cell_angle_alpha 90.00
_cell_angle_beta 93.70
_cell_angle_gamma 90.00
_space_group_name_H-M_alt 'P 1 2/m 1'
_space_group_IT_number 10
loop_
_space_group_symop_operation_xyz
'x,y,z'
'-x,-y,-z'
'-x,y,-z'
'x,-y,z'
loop_
_atom_site_label
_atom_site_type_symbol
_atom_site_fract_x
_atom_site_fract_y
_atom_site_fract_z
_atom_site_occupancy
Co1 Co 0.0000 0.0000 0.0000 1
Ni1 Ni 0.0000 0.5000 0.5000 1
Ni2 Ni 0.5000 0.0000 0.0000 1
S1 S 0.2128 0.0000 0.6822 1
S2 S 0.2464 0.5000 0.1657 1
```

---

CoNiS2 | PBE-GGA | relaxed

Calculated values
Formation energy (no corrections)   -0.338 eV per atom
Density   4.8 g/cm³
Total magnetic moment   0.0003 μB per atom
Energy   -22.49 eV per formula unit

Cell and atoms, written as CIF:
```
data_CoNiS2
_chemical_formula_sum 'Co4 Ni4 S8'
_cell_length_a 4.9919
_cell_length_b 4.9919
_cell_length_c 10.0656
_cell_angle_alpha 90.00
_cell_angle_beta 90.00
_cell_angle_gamma 90.00
_space_group_name_H-M_alt 'I -4 2 d'
_space_group_IT_number 122
_space_group_name_Hall 'I -4 2bw'
loop_
_atom_site_label
_atom_site_type_symbol
_atom_site_fract_x
_atom_site_fract_y
_atom_site_fract_z
_atom_site_occupancy
Co1 Co 0.0000 0.0000 0.0000 1
Ni1 Ni 0.0000 0.0000 0.5000 1
S1 S 0.2414 0.2500 0.1250 1
```